DFT (PBE) results for a relaxed structure of AcGa2Cu.

The structure in POSCAR format:
```
AcGa2Cu
1.0
-1.8654 3.2418 -2.9311
3.1976 -4.1503 -2.7734
-5.5609 -3.8235 -0.6897
Ga Cu Ac
4 2 2
Cartesian
-3.5915 -2.9410 -0.9670 Ga
-1.4467 -1.4663 -0.7010 Ga
-0.6839 -4.2532 -4.2687 Ga
0.7002 -0.2027 -4.5216 Ga
0.2680 -2.1116 -2.5060 Cu
-3.2841 -4.5540 -2.9466 Cu
-2.5015 -1.6440 -4.0781 Ac
-0.6576 1.3136 -1.9805 Ac
```

Calculated values
Offset from the most stable computed form in eV per atom: 0.048
Space-group type: Amm2 (38)
Raw total energy in eV/atom: -3.951
Energy relative to the elements in meV/atom: -386
Total magnetization in μB per cell: 0.00